w.
This record from the Alexandria database describes an optimized crystal structure of YHo6Er12. The functional is GGA-PBE.

Its total moment is 0.0 μB per formula unit. The crystal system is trigonal.

Structure (CIF):
```
data_YHo6Er12
_chemical_formula_sum 'Y3 Ho18 Er36'
_space_group_name_H-M_alt 'R -3 m'
_space_group_IT_number 166
_space_group_name_Hall '-R 3 2"'
_cell_length_a 14.9500
_cell_length_b 14.9500
_cell_length_c 9.9286
_cell_angle_alpha 90.00
_cell_angle_beta 90.00
_cell_angle_gamma 120.00
loop_
_atom_site_label
_atom_site_type_symbol
_atom_site_fract_x
_atom_site_fract_y
_atom_site_fract_z
Y1 Y 0.0000 0.0000 0.0000
Ho1 Ho 0.0545 0.5272 0.2111
Er1 Er 0.0000 0.3893 0.5000
Er2 Er 0.0727 0.1455 0.2862
```



x.
This record from the Alexandria database describes an optimized crystal structure of YHo6Er12. The functional is GGA-PBE.

Its total moment is 0.0 μB per formula unit. The crystal system is trigonal.

Structure (CIF):
```
data_YHo6Er12
_chemical_formula_sum 'Y3 Ho18 Er36'
_space_group_name_H-M_alt 'R -3'
_space_group_IT_number 148
_space_group_name_Hall '-R 3'
_cell_length_a 11.7614
_cell_length_b 11.7614
_cell_length_c 15.0973
_cell_angle_alpha 90.00
_cell_angle_beta 90.00
_cell_angle_gamma 120.00
loop_
_atom_site_label
_atom_site_type_symbol
_atom_site_fract_x
_atom_site_fract_y
_atom_site_fract_z
Y1 Y 0.0000 0.0000 0.0000
Ho1 Ho 0.0093 0.4222 0.6780
Er1 Er 0.0191 0.8364 0.1916
Er2 Er 0.0400 0.8516 0.4156
```



Winner for stability: x



w.
This record from the Alexandria database describes an optimized crystal structure of Y3Ho6Er. The functional is GGA-PBE.

Its total moment is 0.0 μB per formula unit. The crystal system is orthorhombic.

Structure (CIF):
```
data_Y3Ho6Er
_chemical_formula_sum 'Y12 Ho24 Er4'
_space_group_name_H-M_alt 'C m c 21'
_space_group_IT_number 36
_space_group_name_Hall 'C 2c -2'
_cell_length_a 11.001
_cell_length_b 18.934
_cell_length_c 6.139
_cell_angle_alpha 90.00
_cell_angle_beta 90.00
_cell_angle_gamma 90.00
loop_
_atom_site_label
_atom_site_type_symbol
_atom_site_fract_x
_atom_site_fract_y
_atom_site_fract_z
Y1 Y 0.000 0.109 0.000
Y2 Y 0.170 0.391 0.390
Ho1 Ho 0.000 0.217 0.570
Ho2 Ho 0.000 0.452 0.859
Ho3 Ho 0.165 0.047 0.463
Ho4 Ho 0.249 0.211 0.294
Er1 Er 0.000 0.291 0.078
```



x.
This record from the Alexandria database describes an optimized crystal structure of Y3Ho6Er. The functional is GGA-PBE.

Its total moment is 0.0 μB per formula unit. The crystal system is orthorhombic.

Structure (CIF):
```
data_Y3Ho6Er
_chemical_formula_sum 'Y12 Ho24 Er4'
_space_group_name_H-M_alt 'C m c 21'
_space_group_IT_number 36
_space_group_name_Hall 'C 2c -2'
_cell_length_a 9.334
_cell_length_b 15.394
_cell_length_c 8.862
_cell_angle_alpha 90.00
_cell_angle_beta 90.00
_cell_angle_gamma 90.00
loop_
_atom_site_label
_atom_site_type_symbol
_atom_site_fract_x
_atom_site_fract_y
_atom_site_fract_z
Y1 Y 0.000 0.050 0.000
Y2 Y 0.176 0.351 0.488
Ho1 Ho 0.000 0.218 0.245
Ho2 Ho 0.000 0.447 0.126
Ho3 Ho 0.176 0.147 0.639
Ho4 Ho 0.246 0.442 0.814
Er1 Er 0.000 0.280 0.878
```



Winner for stability: x



w.
This record from the Alexandria database describes an optimized crystal structure of YHo7Er2. The functional is GGA-PBE.

Its total moment is 0.0 μB per formula unit. The crystal system is orthorhombic.

Structure (CIF):
```
data_YHo7Er2
_chemical_formula_sum 'Y2 Ho14 Er4'
_space_group_name_H-M_alt 'C m m m'
_space_group_IT_number 65
_space_group_name_Hall '-C 2 2'
_cell_length_a 8.679
_cell_length_b 16.692
_cell_length_c 5.320
_cell_angle_alpha 90.00
_cell_angle_beta 90.00
_cell_angle_gamma 90.00
loop_
_atom_site_label
_atom_site_type_symbol
_atom_site_fract_x
_atom_site_fract_y
_atom_site_fract_z
Y1 Y 0.000 0.000 0.000
Ho1 Ho 0.000 0.202 0.000
Ho2 Ho 0.000 0.500 0.500
Ho3 Ho 0.178 0.111 0.500
Er1 Er 0.000 0.298 0.500
```



x.
This record from the Alexandria database describes an optimized crystal structure of YHo7Er2. The functional is GGA-PBE.

Its total moment is 0.0 μB per formula unit. The crystal system is triclinic.

Structure (CIF):
```
data_YHo7Er2
_chemical_formula_sum 'Y1 Ho7 Er2'
_space_group_name_H-M_alt 'P -1'
_space_group_IT_number 2
_space_group_name_Hall '-P 1'
_cell_length_a 6.101
_cell_length_b 6.113
_cell_length_c 9.320
_cell_angle_alpha 102.62
_cell_angle_beta 109.01
_cell_angle_gamma 99.60
loop_
_atom_site_label
_atom_site_type_symbol
_atom_site_fract_x
_atom_site_fract_y
_atom_site_fract_z
Y1 Y 0.000 0.000 0.000
Ho1 Ho 0.000 0.500 0.500
Ho2 Ho 0.200 0.000 0.401
Ho3 Ho 0.201 0.500 0.899
Ho4 Ho 0.400 0.000 0.799
Er1 Er 0.400 0.501 0.301
```



Winner for stability: x